First-principles (PBE) data for a geometry-optimized PIN2F structure, as listed in the Alexandria database.

Energy relative to the elements, uncorrected in meV/atom: 2266
M_tot in μB/f.u.: 3.6
ΔE to the lowest computed polymorph in eV/f.u.: 7.983

Cell lengths 4.1170, 4.1170, 6.0479 Å; angles 90.00, 90.00, 90.00 degrees
With the nearest neighbours (Å) after each atom.
Atoms (fractional coordinates):
P 0.0000 0.0000 0.0000  4 I 2.91
I 0.5000 0.5000 0.0000  4 P 2.91, 2 F 3.02
N 0.0000 0.5000 0.5000  2 F 2.06
N 0.5000 0.0000 0.5000  2 F 2.06
F 0.5000 0.5000 0.5000  4 N 2.06